1.
VASP calculation (PBE-GGA) on a relaxed structure of Pm8Dy4Er3.

```
15
Lattice="-5.831 3.487 0.978 1.844 -5.266 7.251 7.163 4.806 3.049" Properties=species:S:1:pos:R:3 pbc="T T T"
Pm 0.512 0.899 2.803
Pm 2.663 2.128 8.474
Pm -2.143 2.748 3.874
Pm 5.319 0.279 7.404
Pm 5.590 1.827 4.292
Pm 0.243 -1.034 6.701
Pm 3.417 -2.287 6.008
Pm 2.933 4.061 4.576
Dy 0.000 0.000 0.000
Dy -2.916 1.744 0.489
Dy 0.922 -2.633 3.625
Dy 3.582 2.403 1.525
Er -1.994 -0.889 4.114
Er 0.666 4.147 2.013
Er 1.588 1.514 5.639
```

Results
Crystal system: monoclinic
Space-group type: C2/m
Total moment (μB per formula unit): 0.00
Theoretical density (kg/m3): 7618
Energy of formation from the pure elements (eV per atom): 0.34



2.
VASP calculation (PBE-GGA) on a relaxed structure of Pm3Dy5Er4.

```
12
Lattice="-4.965 -1.158 4.955 -0.296 -2.195 -11.024 2.668 -3.391 12.070" Properties=species:S:1:pos:R:3 pbc="T T T"
Dy -2.965 -2.062 1.639
Dy 0.371 -4.683 4.363
Dy 1.270 -4.773 7.803
Dy -3.863 -1.972 -1.802
Dy -1.149 -2.275 8.513
Er -0.481 -1.486 -0.839
Er 0.426 -1.587 2.590
Er -2.112 -5.258 6.841
Er -3.019 -5.158 3.412
Pm 1.334 -1.696 6.035
Pm -2.065 -2.180 5.079
Pm -0.528 -4.565 0.923
```

Results
Crystal system: triclinic
Space-group type: P-1
Polymorph energy (0 for the lowest one) (meV per atom): 0
Total moment (μB per formula unit): 0.00
Theoretical density (kg/m3): 8350
Energy of formation from the pure elements (eV per atom): 0.02



3.
VASP calculation (PBE-GGA) on a relaxed structure of Pm6DyEr2.

```
9
Lattice="3.485 -0.358 0.860 -2.808 5.623 -8.783 3.282 -0.138 16.563" Properties=species:S:1:pos:R:3 pbc="T T T"
Pm 2.642 3.450 5.764
Pm 1.317 1.676 2.875
Pm 1.687 2.382 9.089
Pm 3.862 0.269 7.036
Pm 0.097 4.857 1.604
Pm 2.272 2.744 -0.450
Er 4.235 0.956 13.245
Er -0.276 4.170 -4.605
Dy 0.000 0.000 0.000
```

Results
Crystal system: triclinic
Space-group type: P-1
Polymorph energy (0 for the lowest one) (meV per atom): 0
Total moment (μB per formula unit): 0.00
Theoretical density (kg/m3): 7605
Energy of formation from the pure elements (eV per atom): 0.02



4.
VASP calculation (PBE-GGA) on a relaxed structure of PmDy2Er.

```
16
Lattice="6.900 0.000 0.002 -0.001 6.740 -1.548 0.004 -4.254 12.378" Properties=species:S:1:pos:R:3 pbc="T T T"
Er 6.048 1.796 4.002
Er 6.045 6.185 -0.132
Er 0.858 -3.699 10.964
Er 0.855 0.689 6.830
Dy 2.580 6.183 -0.126
Dy 0.864 -0.316 10.181
Dy 4.320 0.686 6.838
Dy 0.862 4.046 6.066
Dy 6.039 2.802 0.651
Dy 4.323 -3.697 10.958
Dy 6.041 -1.560 4.766
Dy 2.583 1.799 3.994
Pm 4.327 -0.319 10.192
Pm 2.576 2.805 0.639
Pm 4.325 4.047 6.055
Pm 2.578 -1.561 4.777
```

Results
Crystal system: monoclinic
Space-group type: P2/c
Polymorph energy (0 for the lowest one) (meV per atom): 195
Total moment (μB per formula unit): 0.00
Theoretical density (kg/m3): 7984
Energy of formation from the pure elements (eV per atom): 0.21



5.
VASP calculation (PBE-GGA) on a relaxed structure of Pm2Dy5Er12.

```
19
Lattice="-2.293 -5.531 -6.953 11.934 -0.862 2.805 -7.014 -2.297 4.140" Properties=species:S:1:pos:R:3 pbc="T T T"
Pm -1.567 -3.781 -4.753
Pm -0.726 -1.750 -2.200
Dy -1.218 -3.727 3.367
Dy 0.410 -5.092 -2.139
Dy 3.845 -4.963 -3.374
Dy -3.507 -1.149 2.070
Dy 2.217 -3.598 2.131
Er 2.481 -2.282 -1.189
Er 5.683 -2.568 2.487
Er 1.611 -2.875 5.623
Er 2.755 -7.329 -1.133
Er -0.128 -1.361 1.125
Er -2.179 -4.004 0.167
Er -5.420 -4.979 -0.306
Er 8.046 -3.711 0.299
Er -3.056 -6.122 -2.495
Er 4.805 -4.685 -0.175
Er 1.016 -5.815 -5.631
Er 0.146 -6.408 1.182
```

Results
Crystal system: monoclinic
Space-group type: C2/m
Polymorph energy (0 for the lowest one) (meV per atom): 110
Total moment (μB per formula unit): 0.00
Theoretical density (kg/m3): 8491
Energy of formation from the pure elements (eV per atom): 0.13



6.
VASP calculation (PBE-GGA) on a relaxed structure of Pm5Dy3Er.

```
18
Lattice="3.372 11.480 1.967 -3.372 11.480 1.967 0.000 7.271 9.028" Properties=species:S:1:pos:R:3 pbc="T T T"
Er 1.770 16.933 8.737
Er -1.770 13.298 4.223
Dy 0.000 3.636 4.514
Dy 0.658 19.830 6.470
Dy -0.658 23.466 10.984
Dy -0.658 10.401 6.491
Dy 0.000 0.000 0.000
Dy 0.658 6.765 1.977
Pm 0.007 16.410 5.383
Pm -0.601 3.959 0.693
Pm 0.601 7.594 5.207
Pm -0.007 13.822 7.577
Pm 0.601 26.273 12.268
Pm -1.265 16.933 8.737
Pm -0.007 20.045 9.897
Pm -0.601 22.637 7.754
Pm 1.265 13.298 4.223
Pm 0.007 10.186 3.063
```

Results
Crystal system: monoclinic
Space-group type: C2/c
Polymorph energy (0 for the lowest one) (meV per atom): 0
Total moment (μB per formula unit): 0.00
Theoretical density (kg/m3): 7606
Energy of formation from the pure elements (eV per atom): 0.17



7.
VASP calculation (PBE-GGA) on a relaxed structure of Pm5DyEr3.

```
18
Lattice="9.230 0.000 0.000 0.000 9.230 0.000 -4.615 -4.615 7.142" Properties=species:S:1:pos:R:3 pbc="T T T"
Pm 4.615 4.615 0.000
Pm 7.368 2.754 1.887
Pm 2.754 1.861 1.887
Pm 1.861 2.754 5.256
Pm 0.000 0.000 0.000
Pm -1.861 -2.754 5.256
Pm 6.476 7.368 1.887
Pm 1.861 6.476 1.887
Pm 2.754 -1.861 5.256
Pm -2.754 1.861 5.256
Er 1.016 3.598 0.000
Er 8.213 5.631 0.000
Er 0.000 0.000 3.571
Er 4.615 4.615 3.571
Er 3.598 8.213 0.000
Er 5.631 1.016 0.000
Dy 4.615 0.000 3.571
Dy 0.000 4.615 3.571
```

Results
Crystal system: tetragonal
Space-group type: I4/mcm
Polymorph energy (0 for the lowest one) (meV per atom): 182
Total moment (μB per formula unit): 0.00
Theoretical density (kg/m3): 7584
Energy of formation from the pure elements (eV per atom): 0.31



8.
VASP calculation (PBE-GGA) on a relaxed structure of Pm3Dy4Er8.

```
15
Lattice="11.511 -0.158 -0.227 -5.670 7.245 -0.794 -5.670 -3.260 6.518" Properties=species:S:1:pos:R:3 pbc="T T T"
Pm 2.921 -1.709 3.146
Pm 0.086 1.914 2.749
Pm 2.921 3.543 -0.510
Er 0.086 -0.761 4.610
Er -8.325 2.966 4.261
Er -5.670 3.440 1.855
Er -5.670 0.545 3.870
Er 3.136 0.970 1.394
Er -2.964 2.857 4.104
Er 0.086 4.588 0.887
Er 8.497 0.861 1.237
Dy -2.835 3.622 -0.397
Dy 5.755 -0.079 -0.113
Dy -2.835 -1.630 3.259
Dy 0.000 0.000 0.000
```

Results
Crystal system: monoclinic
Space-group type: C2/m
Total moment (μB per formula unit): 0.00
Theoretical density (kg/m3): 8149
Energy of formation from the pure elements (eV per atom): 0.39



9.
VASP calculation (PBE-GGA) on a relaxed structure of Pm3DyEr3.

```
14
Lattice="5.893 0.000 1.894 2.642 5.268 1.894 -1.464 -0.903 14.672" Properties=species:S:1:pos:R:3 pbc="T T T"
Er 5.731 4.751 5.766
Er 1.135 3.125 13.323
Er 4.184 1.372 13.956
Er 2.888 2.992 4.504
Er 1.341 -0.387 12.693
Er 5.937 1.240 5.136
Pm 3.124 0.698 7.167
Pm 3.948 3.667 11.292
Pm 1.106 1.885 10.026
Pm 4.174 0.143 10.666
Pm 2.898 4.221 7.793
Pm 5.966 2.480 8.434
Dy 2.845 1.756 1.263
Dy 4.227 2.609 17.196
```

Results
Crystal system: trigonal
Space-group type: R-3
Polymorph energy (0 for the lowest one) (meV per atom): 148
Total moment (μB per formula unit): 0.00
Theoretical density (kg/m3): 7675
Energy of formation from the pure elements (eV per atom): 0.17



10.
VASP calculation (PBE-GGA) on a relaxed structure of Pm2Dy2Er5.

```
9
Lattice="-2.415 2.646 0.124 -1.803 -3.656 -8.516 -4.550 -2.212 10.149" Properties=species:S:1:pos:R:3 pbc="T T T"
Er -3.996 -1.472 5.218
Er 0.000 0.000 0.000
Er -6.205 -0.926 2.490
Er -4.772 -1.750 -3.460
Er -2.563 -2.296 -0.732
Pm -2.774 -0.206 2.173
Pm -5.993 -3.015 -0.415
Dy -6.557 -3.765 4.514
Dy -2.211 0.544 -2.757
```

Results
Crystal system: triclinic
Space-group type: P-1
Polymorph energy (0 for the lowest one) (meV per atom): 0
Total moment (μB per formula unit): 0.00
Theoretical density (kg/m3): 8471
Energy of formation from the pure elements (eV per atom): 0.00



11.
VASP calculation (PBE-GGA) on a relaxed structure of Pm2Dy5Er12.

```
19
Lattice="6.104 0.249 -0.248 -2.677 8.199 -7.063 -0.378 -2.131 13.484" Properties=species:S:1:pos:R:3 pbc="T T T"
Er 2.355 3.986 -0.680
Er 2.769 0.037 5.163
Er 0.694 2.331 6.852
Er -0.603 2.884 0.910
Er 3.653 3.433 5.262
Er -0.384 0.892 3.833
Er 0.281 6.280 1.009
Er 2.156 5.924 -3.588
Er 0.893 0.394 9.760
Er 4.043 -0.454 11.092
Er -0.994 6.771 -4.920
Er 3.434 5.425 2.339
Dy 3.844 1.489 8.184
Dy 2.555 2.010 2.249
Dy 0.494 4.307 3.923
Dy -0.189 -1.066 6.742
Dy -0.795 4.828 -2.012
Pm 1.094 -1.569 12.685
Pm 1.955 7.886 -6.513
```

Results
Crystal system: triclinic
Space-group type: P-1
Polymorph energy (0 for the lowest one) (meV per atom): 0
Total moment (μB per formula unit): 0.00
Theoretical density (kg/m3): 8745
Energy of formation from the pure elements (eV per atom): 0.02



12.
VASP calculation (PBE-GGA) on a relaxed structure of Pm14DyEr.

```
16
Lattice="7.208 0.968 0.000 -0.966 7.209 0.000 0.000 0.000 10.263" Properties=species:S:1:pos:R:3 pbc="T T T"
Dy 6.189 1.746 0.000
Pm 2.102 4.866 5.132
Pm 2.580 1.261 5.132
Pm 4.141 3.310 7.718
Pm 5.701 5.349 0.000
Pm 6.183 1.751 5.132
Pm 3.658 6.911 7.718
Pm 0.540 2.826 7.718
Pm 0.540 2.826 2.546
Pm 4.141 3.310 2.546
Pm 5.706 5.356 5.132
Pm 0.057 6.427 2.545
Pm 2.585 1.267 0.000
Pm 3.658 6.911 2.546
Pm 0.057 6.427 7.718
Er 2.097 4.870 0.000
```

Results
Crystal system: orthorhombic
Space-group type: Amm2
Total moment (μB per formula unit): 0.00
Theoretical density (kg/m3): 7217
Energy of formation from the pure elements (eV per atom): 0.02